[1]
## PrPuTcGe2 (PBE)

Data for a relaxed structure of PrPuTcGe2.

Cell and atoms, written as CIF:
```
data_PrPuTcGe2
_chemical_formula_sum 'Pr1 Pu1 Tc1 Ge2'
_cell_length_a 4.127
_cell_length_b 4.127
_cell_length_c 7.015
_cell_angle_alpha 107.11
_cell_angle_beta 107.11
_cell_angle_gamma 90.00
_symmetry_space_group_name_H-M 'P 1'
_symmetry_Int_Tables_number 1
_symmetry_space_group_name_Hall 'P 1'
loop_
_atom_site_label
_atom_site_type_symbol
_atom_site_fract_x
_atom_site_fract_y
_atom_site_fract_z
Pr1 Pr 0.000 0.000 0.000
Pu1 Pu 0.750 0.250 0.500
Tc1 Tc 0.250 0.750 0.500
Ge1 Ge 0.598 0.598 0.197
Ge2 Ge 0.402 0.402 0.803
```

SG: I-4m2, No. 119
ΔE_f: -0.377 eV/atom

***

[2]
## PrPuTlGe (PBE)

Data for a relaxed structure of PrPuTlGe.

Cell and atoms, written as CIF:
```
data_PrPuTlGe
_chemical_formula_sum 'Pr1 Pu1 Tl1 Ge1'
_cell_length_a 5.342
_cell_length_b 5.342
_cell_length_c 5.342
_cell_angle_alpha 60.00
_cell_angle_beta 60.00
_cell_angle_gamma 60.00
_symmetry_space_group_name_H-M 'P 1'
_symmetry_Int_Tables_number 1
_symmetry_space_group_name_Hall 'P 1'
loop_
_atom_site_label
_atom_site_type_symbol
_atom_site_fract_x
_atom_site_fract_y
_atom_site_fract_z
Pr1 Pr 0.000 0.000 0.000
Tl1 Tl 0.750 0.750 0.750
Ge1 Ge 0.250 0.250 0.250
Pu1 Pu 0.500 0.500 0.500
```

SG: F-43m, No. 216
ΔE_f: -0.267 eV/atom

***

[3]
## PrPuZnGe (PBE)

Data for a relaxed structure of PrPuZnGe.

Cell and atoms, written as CIF:
```
data_PrPuZnGe
_chemical_formula_sum 'Pr1 Pu1 Zn1 Ge1'
_cell_length_a 5.156
_cell_length_b 5.156
_cell_length_c 5.156
_cell_angle_alpha 60.00
_cell_angle_beta 60.00
_cell_angle_gamma 60.00
_symmetry_space_group_name_H-M 'P 1'
_symmetry_Int_Tables_number 1
_symmetry_space_group_name_Hall 'P 1'
loop_
_atom_site_label
_atom_site_type_symbol
_atom_site_fract_x
_atom_site_fract_y
_atom_site_fract_z
Pr1 Pr 0.500 0.500 0.500
Ge1 Ge 0.750 0.750 0.750
Zn1 Zn 0.250 0.250 0.250
Pu1 Pu 0.000 0.000 0.000
```

SG: F-43m, No. 216
ΔE_f: -0.340 eV/atom

***

[4]
## Rb3Pr3GeS8 (PBE)

Data for a relaxed structure of Rb3Pr3GeS8.

Cell and atoms, written as CIF:
```
data_Rb3Pr3GeS8
_chemical_formula_sum 'Rb3 Pr3 Ge1 S8'
_cell_length_a 8.234
_cell_length_b 8.236
_cell_length_c 9.191
_cell_angle_alpha 116.62
_cell_angle_beta 90.00
_cell_angle_gamma 119.99
_symmetry_space_group_name_H-M 'P 1'
_symmetry_Int_Tables_number 1
_symmetry_space_group_name_Hall 'P 1'
loop_
_atom_site_label
_atom_site_type_symbol
_atom_site_fract_x
_atom_site_fract_y
_atom_site_fract_z
Rb1 Rb 0.000 0.000 0.000
Rb2 Rb 0.000 0.500 0.000
Rb3 Rb 0.500 0.500 0.000
Pr1 Pr 0.500 0.000 0.500
Pr2 Pr 0.500 0.500 0.500
Pr3 Pr 0.000 0.500 0.500
Ge1 Ge 0.000 0.000 0.500
S1 S 0.267 0.534 0.302
S2 S 0.733 0.466 0.698
S3 S 0.793 0.587 0.320
S4 S 0.207 0.413 0.680
S5 S 0.793 0.026 0.320
S6 S 0.207 0.974 0.680
S7 S 0.233 0.026 0.320
S8 S 0.767 0.974 0.680
```

energy relative to the elements, uncorrected: -1.4149 eV per atom
SG: R-3m, No. 166

***

[5]
## RbPrGeS4 (PBE)

Data for a relaxed structure of RbPrGeS4.

Cell and atoms, written as CIF:
```
data_RbPrGeS4
_chemical_formula_sum 'Rb2 Pr2 Ge2 S8'
_cell_length_a 6.692
_cell_length_b 6.768
_cell_length_c 9.196
_cell_angle_alpha 90.00
_cell_angle_beta 107.33
_cell_angle_gamma 90.00
_symmetry_space_group_name_H-M 'P 1'
_symmetry_Int_Tables_number 1
_symmetry_space_group_name_Hall 'P 1'
loop_
_atom_site_label
_atom_site_type_symbol
_atom_site_fract_x
_atom_site_fract_y
_atom_site_fract_z
Rb1 Rb 0.730 0.750 0.935
Rb2 Rb 0.270 0.250 0.065
Pr1 Pr 0.771 0.750 0.449
Pr2 Pr 0.229 0.250 0.551
Ge1 Ge 0.220 0.750 0.326
Ge2 Ge 0.780 0.250 0.674
S1 S 0.002 0.505 0.709
S2 S 0.998 0.005 0.291
S3 S 0.998 0.495 0.291
S4 S 0.002 0.995 0.709
S5 S 0.419 0.750 0.173
S6 S 0.581 0.250 0.827
S7 S 0.416 0.750 0.569
S8 S 0.584 0.250 0.431
```

energy relative to the elements, uncorrected: -1.2639 eV per atom
SG: P2_1/m, No. 11

***

[6]
## Rb3Pr3GeSe8 (PBE)

Data for a relaxed structure of Rb3Pr3GeSe8.

Cell and atoms, written as CIF:
```
data_Rb3Pr3GeSe8
_chemical_formula_sum 'Rb3 Pr3 Ge1 Se8'
_cell_length_a 8.551
_cell_length_b 8.554
_cell_length_c 9.594
_cell_angle_alpha 116.49
_cell_angle_beta 90.00
_cell_angle_gamma 119.99
_symmetry_space_group_name_H-M 'P 1'
_symmetry_Int_Tables_number 1
_symmetry_space_group_name_Hall 'P 1'
loop_
_atom_site_label
_atom_site_type_symbol
_atom_site_fract_x
_atom_site_fract_y
_atom_site_fract_z
Rb1 Rb 0.000 0.000 0.000
Rb2 Rb 0.000 0.500 0.000
Rb3 Rb 0.500 0.500 0.000
Pr1 Pr 0.500 0.000 0.500
Pr2 Pr 0.500 0.500 0.500
Pr3 Pr 0.000 0.500 0.500
Ge1 Ge 0.000 0.000 0.500
Se1 Se 0.266 0.532 0.297
Se2 Se 0.734 0.468 0.703
Se3 Se 0.789 0.577 0.314
Se4 Se 0.211 0.423 0.686
Se5 Se 0.789 0.026 0.314
Se6 Se 0.211 0.974 0.686
Se7 Se 0.237 0.026 0.314
Se8 Se 0.763 0.974 0.686
```

energy relative to the elements, uncorrected: -1.3363 eV per atom
SG: R-3m, No. 166

***

[7]
## RbPrGeSe4 (PBE)

Data for a relaxed structure of RbPrGeSe4.

Cell and atoms, written as CIF:
```
data_RbPrGeSe4
_chemical_formula_sum 'Rb2 Pr2 Ge2 Se8'
_cell_length_a 6.937
_cell_length_b 7.082
_cell_length_c 9.563
_cell_angle_alpha 90.00
_cell_angle_beta 107.73
_cell_angle_gamma 90.00
_symmetry_space_group_name_H-M 'P 1'
_symmetry_Int_Tables_number 1
_symmetry_space_group_name_Hall 'P 1'
loop_
_atom_site_label
_atom_site_type_symbol
_atom_site_fract_x
_atom_site_fract_y
_atom_site_fract_z
Rb1 Rb 0.742 0.750 0.938
Rb2 Rb 0.258 0.250 0.062
Pr1 Pr 0.769 0.750 0.448
Pr2 Pr 0.231 0.250 0.552
Ge1 Ge 0.217 0.750 0.325
Ge2 Ge 0.783 0.250 0.675
Se1 Se 0.012 0.510 0.713
Se2 Se 0.988 0.010 0.287
Se3 Se 0.988 0.490 0.287
Se4 Se 0.012 0.990 0.713
Se5 Se 0.418 0.750 0.166
Se6 Se 0.582 0.250 0.834
Se7 Se 0.419 0.750 0.575
Se8 Se 0.581 0.250 0.425
```

energy relative to the elements, uncorrected: -1.1507 eV per atom
SG: P2_1/m, No. 11

***

[8]
## RbPrGeTe3 (PBE)

Data for a relaxed structure of RbPrGeTe3.

Cell and atoms, written as CIF:
```
data_RbPrGeTe3
_chemical_formula_sum 'Rb2 Pr2 Ge2 Te6'
_cell_length_a 4.408
_cell_length_b 9.544
_cell_length_c 12.221
_cell_angle_alpha 109.97
_cell_angle_beta 90.00
_cell_angle_gamma 90.00
_symmetry_space_group_name_H-M 'P 1'
_symmetry_Int_Tables_number 1
_symmetry_space_group_name_Hall 'P 1'
loop_
_atom_site_label
_atom_site_type_symbol
_atom_site_fract_x
_atom_site_fract_y
_atom_site_fract_z
Rb1 Rb 0.250 0.240 0.286
Rb2 Rb 0.750 0.760 0.714
Pr1 Pr 0.250 0.640 0.160
Pr2 Pr 0.750 0.360 0.840
Ge1 Ge 0.250 0.117 0.555
Ge2 Ge 0.750 0.883 0.445
Te1 Te 0.750 0.901 0.229
Te2 Te 0.250 0.099 0.771
Te3 Te 0.250 0.681 0.433
Te4 Te 0.750 0.319 0.567
Te5 Te 0.750 0.386 0.106
Te6 Te 0.250 0.614 0.894
```

energy relative to the elements, uncorrected: -0.9433 eV per atom
SG: P2_1/m, No. 11

***

[9]
## PrReGe (PBE)

Data for a relaxed structure of PrReGe.

Cell and atoms, written as CIF:
```
data_PrReGe
_chemical_formula_sum 'Pr4 Re4 Ge4'
_cell_length_a 4.116
_cell_length_b 8.225
_cell_length_c 7.767
_cell_angle_alpha 92.45
_cell_angle_beta 90.00
_cell_angle_gamma 90.00
_symmetry_space_group_name_H-M 'P 1'
_symmetry_Int_Tables_number 1
_symmetry_space_group_name_Hall 'P 1'
loop_
_atom_site_label
_atom_site_type_symbol
_atom_site_fract_x
_atom_site_fract_y
_atom_site_fract_z
Ge1 Ge 0.250 0.645 0.787
Ge2 Ge 0.750 0.855 0.213
Ge3 Ge 0.750 0.355 0.213
Ge4 Ge 0.250 0.145 0.787
Re1 Re 0.250 0.907 0.000
Re2 Re 0.750 0.593 0.000
Re3 Re 0.750 0.093 0.000
Re4 Re 0.250 0.407 0.000
Pr1 Pr 0.250 0.623 0.340
Pr2 Pr 0.750 0.877 0.660
Pr3 Pr 0.750 0.377 0.660
Pr4 Pr 0.250 0.123 0.340
```

SG: P2_1/m, No. 11
ΔE_f: -0.342 eV/atom

***

[10]
## PrReGe2 (PBE)

Data for a relaxed structure of PrReGe2.

Cell and atoms, written as CIF:
```
data_PrReGe2
_chemical_formula_sum 'Pr1 Re1 Ge2'
_cell_length_a 4.812
_cell_length_b 4.812
_cell_length_c 4.695
_cell_angle_alpha 59.17
_cell_angle_beta 59.17
_cell_angle_gamma 60.00
_symmetry_space_group_name_H-M 'P 1'
_symmetry_Int_Tables_number 1
_symmetry_space_group_name_Hall 'P 1'
loop_
_atom_site_label
_atom_site_type_symbol
_atom_site_fract_x
_atom_site_fract_y
_atom_site_fract_z
Pr1 Pr 0.500 0.500 0.500
Re1 Re 0.000 0.000 0.000
Ge1 Ge 0.245 0.245 0.266
Ge2 Ge 0.755 0.755 0.734
```

SG: R-3m, No. 166
ΔE_f: 0.012 eV/atom